1.
Material: CuH8C2NCl3
Method: DFT, PBE-GGA
State: optimized geometry

a b c (Å): 9.9832 9.9832 12.0018
angles (deg): 120.51 120.51 53.16
Last column: nearest neighbours and their distance in Å.
Positions (direct):
Cu  0.0829  0.8473  0.5751  4 Cl 2.28-2.32
Cu  0.1527  0.9171  0.9249  4 Cl 2.28-2.32
Cu  0.8473  0.0829  0.0751  4 Cl 2.28-2.32
Cu  0.9171  0.1527  0.4249  4 Cl 2.28-2.32
H  0.0956  0.5193  0.7795  1 C 1.09
H  0.1244  0.3225  0.6391  1 C 1.10
H  0.1535  0.3986  0.0768  1 C 1.10
H  0.1609  0.5406  0.2483  1 C 1.09
H  0.2504  0.5406  0.1514  1 C 1.09
H  0.2542  0.4751  0.6558  1 N 1.04
H  0.2609  0.3099  0.8085  1 C 1.10
H  0.3099  0.2609  0.3085  1 C 1.10
H  0.3225  0.1244  0.1391  1 C 1.10
H  0.3734  0.4740  0.8129  1 N 1.05
H  0.3986  0.1535  0.5768  1 C 1.10
H  0.4594  0.7496  0.3486  1 C 1.09
H  0.4594  0.8391  0.2517  1 C 1.09
H  0.4740  0.3734  0.3129  1 N 1.05
H  0.4751  0.2542  0.1558  1 N 1.04
H  0.4807  0.9044  0.7205  1 C 1.09
H  0.5193  0.0956  0.2795  1 C 1.09
H  0.5249  0.7458  0.8442  1 N 1.04
H  0.5260  0.6266  0.6871  1 N 1.05
H  0.5406  0.1609  0.7483  1 C 1.09
H  0.5406  0.2504  0.6514  1 C 1.09
H  0.6014  0.8465  0.4232  1 C 1.10
H  0.6266  0.5260  0.1871  1 N 1.05
H  0.6775  0.8756  0.8609  1 C 1.10
H  0.6901  0.7391  0.6915  1 C 1.10
H  0.7391  0.6901  0.1915  1 C 1.10
H  0.7458  0.5249  0.3442  1 N 1.04
H  0.7496  0.4594  0.8486  1 C 1.09
H  0.8391  0.4594  0.7517  1 C 1.09
H  0.8465  0.6014  0.9232  1 C 1.10
H  0.8756  0.6775  0.3609  1 C 1.10
H  0.9044  0.4807  0.2205  1 C 1.09
C  0.1904  0.3869  0.7384  3 H 1.09-1.10
C  0.2287  0.4600  0.1708  3 H 1.09-1.10
C  0.3869  0.1904  0.2384  3 H 1.09-1.10
C  0.4600  0.2287  0.6708  3 H 1.09-1.10
C  0.5400  0.7713  0.3292  3 H 1.09-1.10
C  0.6131  0.8096  0.7616  3 H 1.09-1.10
C  0.7713  0.5400  0.8292  3 H 1.09-1.10
C  0.8096  0.6131  0.2616  3 H 1.09-1.10
N  0.3186  0.4010  0.7213  2 H 1.04-1.05
N  0.4010  0.3186  0.2213  2 H 1.04-1.05
N  0.5990  0.6814  0.7787  2 H 1.04-1.05
N  0.6814  0.5990  0.2787  2 H 1.04-1.05
Cl  0.0313  0.2105  0.3410  1 Cu 2.28
Cl  0.0841  0.8183  0.0178  2 Cu 2.31-2.32
Cl  0.1817  0.9159  0.4822  2 Cu 2.31-2.32
Cl  0.2105  0.0313  0.8410  1 Cu 2.28
Cl  0.3045  0.5661  0.5408  2 H 2.22-2.35, 1 Cu 2.29
Cl  0.4339  0.6955  0.9592  2 H 2.22-2.35, 1 Cu 2.29
Cl  0.5661  0.3045  0.0408  2 H 2.22-2.35, 1 Cu 2.29
Cl  0.6955  0.4339  0.4592  2 H 2.22-2.35, 1 Cu 2.29
Cl  0.7895  0.9687  0.1590  1 Cu 2.28
Cl  0.8183  0.0841  0.5178  2 Cu 2.31-2.32
Cl  0.9159  0.1817  0.9822  2 Cu 2.31-2.32
Cl  0.9687  0.7895  0.6590  1 Cu 2.28

## Properties
Calculated volume (Å³/atom): 13.134
E (eV per atom): -4.6063


2.
Material: CuH18C4N10Cl2O2
Method: DFT, PBE-GGA
State: optimized geometry

a b c (Å): 7.2320 9.5564 12.5873
angles (deg): 111.41 94.43 102.82
Last column: nearest neighbours and their distance in Å.
Positions (direct):
Cu  0.2271  0.0171  0.4439  4 N 1.95-1.97
Cu  0.7729  0.9829  0.5561  4 N 1.95-1.97
H  0.1218  0.5115  0.2027  1 N 1.02
H  0.1350  0.7112  0.3672  1 N 1.02
H  0.1678  0.8425  0.5627  1 N 1.02
H  0.1746  0.7052  0.8566  1 O 0.99
H  0.1792  0.8787  0.7526  1 N 1.03
H  0.1799  0.5473  0.0824  1 N 1.02
H  0.1984  0.7798  0.0750  1 N 1.04
H  0.2021  0.1858  0.3223  1 N 1.03
H  0.2076  0.9666  0.0331  1 N 1.02
H  0.2267  0.1556  0.1292  1 N 1.02
H  0.2621  0.6411  0.6266  1 O 0.99
H  0.2879  0.0677  0.8567  1 N 1.03
H  0.3563  0.2634  0.8178  1 N 1.03
H  0.3709  0.3165  0.5168  1 N 1.02
H  0.3751  0.7359  0.9376  1 O 0.99
H  0.4505  0.5270  0.6866  1 N 1.03
H  0.4635  0.7610  0.6491  1 O 0.98
H  0.4869  0.4964  0.8151  1 N 1.02
H  0.5131  0.5036  0.1849  1 N 1.02
H  0.5365  0.2390  0.3509  1 O 0.98
H  0.5495  0.4730  0.3134  1 N 1.03
H  0.6249  0.2641  0.0624  1 O 0.99
H  0.6291  0.6835  0.4832  1 N 1.02
H  0.6437  0.7366  0.1822  1 N 1.03
H  0.7121  0.9323  0.1433  1 N 1.03
H  0.7379  0.3589  0.3734  1 O 0.99
H  0.7733  0.8444  0.8708  1 N 1.02
H  0.7924  0.0334  0.9669  1 N 1.02
H  0.7979  0.8142  0.6777  1 N 1.03
H  0.8016  0.2202  0.9250  1 N 1.04
H  0.8201  0.4527  0.9176  1 N 1.02
H  0.8208  0.1213  0.2474  1 N 1.03
H  0.8254  0.2948  0.1434  1 O 0.99
H  0.8322  0.1575  0.4373  1 N 1.02
H  0.8650  0.2888  0.6328  1 N 1.02
H  0.8782  0.4885  0.7973  1 N 1.02
C  0.1672  0.7401  0.2246  3 N 1.31-1.38
C  0.2086  0.9903  0.2007  3 N 1.31-1.38
C  0.2672  0.0461  0.6883  3 N 1.31-1.38
C  0.3668  0.2970  0.6646  3 N 1.31-1.38
C  0.6332  0.7030  0.3354  3 N 1.31-1.38
C  0.7328  0.9538  0.3117  3 N 1.31-1.38
C  0.7914  0.0097  0.7993  3 N 1.31-1.38
C  0.8328  0.2599  0.7754  3 N 1.31-1.38
N  0.1367  0.5859  0.1604  2 H 1.02
N  0.1613  0.7972  0.3359  1 H 1.02
N  0.1957  0.0399  0.1135  2 H 1.02
N  0.2012  0.8339  0.1633  1 H 1.04
N  0.2137  0.9580  0.5772  1 H 1.02
N  0.2249  0.0792  0.3109  1 H 1.03
N  0.2645  0.9893  0.7723  2 H 1.03
N  0.3253  0.2356  0.5509  1 H 1.02
N  0.3351  0.2061  0.7288  1 H 1.03
N  0.4421  0.4505  0.7273  2 H 1.02-1.03
N  0.5579  0.5495  0.2727  2 H 1.02-1.03
N  0.6649  0.7939  0.2712  1 H 1.03
N  0.6747  0.7644  0.4491  1 H 1.02
N  0.7355  0.0107  0.2277  2 H 1.03
N  0.7751  0.9208  0.6891  1 H 1.03
N  0.7863  0.0420  0.4228  1 H 1.02
N  0.7988  0.1661  0.8367  1 H 1.04
N  0.8043  0.9601  0.8865  2 H 1.02
N  0.8387  0.2028  0.6641  1 H 1.02
N  0.8633  0.4141  0.8396  2 H 1.02
Cl  0.0114  0.3682  0.3101  4 H 2.18-2.32
Cl  0.3574  0.3064  0.0071  4 H 2.18-2.33
Cl  0.6426  0.6936  0.9929  4 H 2.18-2.33
Cl  0.9886  0.6318  0.6899  4 H 2.18-2.32
O  0.2502  0.7624  0.9359  2 H 0.99
O  0.3957  0.6501  0.6111  2 H 0.98-0.99
O  0.6043  0.3499  0.3889  2 H 0.98-0.99
O  0.7498  0.2376  0.0641  2 H 0.99

## Properties
Calculated volume (Å³/atom): 10.509
E (eV per atom): -5.7722


3.
Material: CuC8S4N4Cl
Method: DFT, PBE-GGA
State: optimized geometry

a b c (Å): 10.4251 10.4251 10.4251
angles (deg): 91.53 91.53 161.20
Last column: nearest neighbours and their distance in Å.
Positions (direct):
Cu  0.0000  0.0000  0.0000  4 S 2.35
C  0.0177  0.2439  0.7826  1 C 1.31
C  0.4612  0.2350  0.2174  1 C 1.31
C  0.5414  0.2949  0.3434  1 N 1.20, 1 C 1.31
C  0.7051  0.0485  0.2465  1 N 1.20, 1 C 1.31
C  0.7561  0.5388  0.7738  1 C 1.31
C  0.7650  0.9823  0.2262  1 C 1.31
C  0.8020  0.4586  0.7535  1 N 1.20, 1 C 1.31
C  0.9515  0.1980  0.6566  1 N 1.20, 1 C 1.31
S  0.1102  0.3128  0.9327  1 C 1.56
S  0.3801  0.1775  0.0673  1 C 1.56
S  0.6872  0.6199  0.7974  1 C 1.56
S  0.8225  0.8898  0.2026  1 C 1.56
N  0.6159  0.3515  0.4592  1 C 1.20
N  0.6485  0.1076  0.2644  1 C 1.20
N  0.8432  0.3841  0.7356  1 C 1.20
N  0.8924  0.1568  0.5408  1 C 1.20
Cl  0.7500  0.2500  0.5000  4 N 2.46

## Properties
Calculated volume (Å³/atom): 20.015
E_form (uncorrected) (eV per atom): 0.85


4.
Material: Zn2CuC2NCl6
Method: DFT, PBE-GGA
State: optimized geometry

a b c (Å): 10.1582 10.1582 10.1582
angles (deg): 136.53 121.60 75.54
Last column: nearest neighbours and their distance in Å.
Positions (direct):
Zn  0.0143  0.3784  0.0342  4 Cl 2.29-2.31
Zn  0.4857  0.5199  0.3642  4 Cl 2.29-2.31
Zn  0.6558  0.1216  0.1358  4 Cl 2.29-2.31
Zn  0.8442  0.9801  0.4658  4 Cl 2.29-2.31
Cu  0.7253  0.9753  0.7500  4 Cl 2.29-2.32
Cu  0.7747  0.5247  0.2500  4 Cl 2.29-2.32
C  0.2492  0.8349  0.0848  1 N 1.24, 1 C 1.28
C  0.2501  0.1644  0.4152  1 N 1.24, 1 C 1.28
C  0.2499  0.6651  0.9144  1 N 1.24, 1 C 1.28
C  0.2508  0.3356  0.5856  1 N 1.24, 1 C 1.28
N  0.2481  0.9981  0.2500  2 C 1.24
N  0.2519  0.5019  0.7500  2 C 1.24
Cl  0.0256  0.2756  0.7500  2 Zn 2.31
Cl  0.2500  0.6045  0.3545  2 Zn 2.31
Cl  0.4744  0.2244  0.2500  2 Zn 2.31
Cl  0.5081  0.5024  0.1392  1 Zn 2.29, 1 Cu 2.32
Cl  0.5187  0.0356  0.8072  1 Cu 2.29, 1 Zn 2.31
Cl  0.6367  0.9976  0.5057  1 Zn 2.29, 1 Cu 2.32
Cl  0.7284  0.7115  0.6928  1 Cu 2.29, 1 Zn 2.31
Cl  0.7500  0.8955  0.1455  2 Zn 2.31
Cl  0.7716  0.4644  0.9831  1 Cu 2.29, 1 Zn 2.31
Cl  0.8633  0.3689  0.3608  1 Zn 2.29, 1 Cu 2.32
Cl  0.9813  0.7885  0.5169  1 Cu 2.29, 1 Zn 2.31
Cl  0.9919  0.1311  0.9943  1 Zn 2.29, 1 Cu 2.32

## Properties
Calculated volume (Å³/atom): 24.947
E_form (uncorrected) (eV per atom): -0.44


The calculation returns the following spin magnetization values, one per record and in order: 4.04, 2.00, 0.00, 1.01 μB/cell.